No. 1
The following is a PBE calculation of a relaxed Hf3BePd crystal, from the Alexandria database.

Output
ΔE to the lowest computed polymorph in meV/atom: 0
Crystal system: cubic
Energy in eV per atom: -7.485
DOS at the Fermi energy in states/eV/f.u.: 11.18

Unit cell a=4.6041 b=4.6041 c=4.6041 alpha=90.00 beta=90.00 gamma=90.00
Fractional positions:
1 Be 0.0000 0.0000 0.0000
2 Hf 0.0000 0.5000 0.0000
3 Hf 0.0000 0.0000 0.5000
4 Hf 0.5000 0.0000 0.0000
5 Pd 0.5000 0.5000 0.5000

***

No. 2
The following is a PBE calculation of a relaxed Sc2CoHOs crystal, from the Alexandria database.

Output
Crystal system: tetragonal
Energy in eV per atom: -7.293
DOS at the Fermi energy in states/eV/f.u.: 2.51

Unit cell a=4.4909 b=4.4909 c=3.2775 alpha=90.00 beta=90.00 gamma=90.00
Fractional positions:
1 Sc 0.0000 0.5000 0.0000
2 Sc 0.5000 0.0000 0.0000
3 Co 0.0000 0.0000 0.5000
4 Os 0.5000 0.5000 0.5000
5 H 0.0000 0.0000 0.0000